Record 1
Density functional theory data (PBE-GGA) for a relaxed structure of RhSNF2.

a = 4.2828 Å, b = 4.2828 Å, c = 3.7409 Å
α = 90.00°, β = 90.00°, γ = 90.00°
With the nearest neighbours (Å) after each atom.
Positions (direct):
N 0.0000 0.0000 0.5000  2 Rh 1.87
S 0.5000 0.5000 0.5000  8 F 2.84, 4 N 3.03
Rh 0.0000 0.0000 0.0000  2 N 1.87
F 0.5000 0.0000 0.0000  2 Rh 2.14
F 0.0000 0.5000 0.0000  2 Rh 2.14

Calculated values
ΔE to the lowest computed polymorph in meV/atom: 0
Space group: No. 123
Uncorrected formation energy in eV/atom: 0.25

***

Record 2
Density functional theory data (PBE-GGA) for a relaxed structure of SiHgCl2.

a = 10.3965 Å, b = 10.3965 Å, c = 10.3965 Å
α = 17.90°, β = 17.90°, γ = 17.90°
With the nearest neighbours (Å) after each atom.
Positions (direct):
Si 0.0000 0.0000 0.0000  2 Cl 2.11
Cl 0.0688 0.0688 0.0688  1 Si 2.11
Cl 0.9312 0.9312 0.9312  1 Si 2.11
Hg 0.5000 0.5000 0.5000  6 Hg 3.24, 6 Cl 3.54

Calculated values
ΔE to the lowest computed polymorph in meV/atom: 294
Space group: No. 166
Uncorrected formation energy in eV/atom: -0.12

***

Record 3
Density functional theory data (PBE-GGA) for a relaxed structure of BeIn2Ru.

a = 8.5482 Å, b = 8.5482 Å, c = 8.5482 Å
α = 20.95°, β = 20.95°, γ = 20.95°
With the nearest neighbours (Å) after each atom.
Positions (direct):
In 0.0016 0.0016 0.0016  3 Be 2.72, 3 Ru 2.79
In 0.4984 0.4984 0.4984  3 Be 2.72, 3 Ru 2.79
Ru 0.2500 0.2500 0.2500  6 In 2.79, 6 Ru 3.11
Be 0.7500 0.7500 0.7500  6 In 2.72

Calculated values
Space group: No. 166
ΔE_f in eV per atom: 0.447

***

Record 4
Density functional theory data (PBE-GGA) for a relaxed structure of TaCd2Fe.

a = 2.8601 Å, b = 2.8601 Å, c = 8.6363 Å
α = 90.00°, β = 90.00°, γ = 89.81°
With the nearest neighbours (Å) after each atom.
Positions (direct):
Cd 0.0000 0.0000 0.4828  4 Fe 2.85, 4 Cd 2.86, 4 Ta 3.07
Cd 0.0000 0.0000 0.0172  4 Fe 2.85, 4 Cd 2.86, 4 Ta 3.07
Ta 0.5000 0.5000 0.7500  4 Ta 2.86, 8 Cd 3.07
Fe 0.5000 0.5000 0.2500  8 Cd 2.85, 4 Fe 2.86

Calculated values
ΔE to the lowest computed polymorph in meV/atom: 201
Space group: No. 65
ΔE_f in eV per atom: 0.355

***

Record 5
Density functional theory data (PBE-GGA) for a relaxed structure of BeTlP2.

a = 4.6535 Å, b = 4.6535 Å, c = 4.6535 Å
α = 60.00°, β = 60.00°, γ = 60.00°
With the nearest neighbours (Å) after each atom.
Positions (direct):
P 0.2500 0.2500 0.2500  4 Tl 2.85, 4 Be 2.85
P 0.7500 0.7500 0.7500  4 Tl 2.85, 4 Be 2.85
Tl 0.5000 0.5000 0.5000  8 P 2.85
Be 0.0000 0.0000 0.0000  8 P 2.85

Calculated values
ΔE to the lowest computed polymorph in meV/atom: 861
Space group: No. 225
ΔE_f in eV per atom: 0.923

***

Record 6
Density functional theory data (PBE-GGA) for a relaxed structure of Cd2Bi2Pb.

a = 4.8368 Å, b = 4.8368 Å, c = 7.5043 Å
α = 71.20°, β = 71.20°, γ = 90.00°
With the nearest neighbours (Å) after each atom.
Positions (direct):
Bi 0.2500 0.7500 0.5000  4 Cd 3.13, 4 Bi 3.42
Bi 0.7500 0.2500 0.5000  4 Cd 3.13, 4 Bi 3.42
Pb 0.0000 0.0000 0.0000  8 Cd 3.68
Cd 0.3988 0.3988 0.2024  1 Cd 2.70
Cd 0.6012 0.6012 0.7976  1 Cd 2.70

Calculated values
ΔE to the lowest computed polymorph in meV/atom: 80
Space group: No. 139
ΔE_f in eV per atom: 0.128

***

Record 7
Density functional theory data (PBE-GGA) for a relaxed structure of Ho4AlOs.

a = 9.4934 Å, b = 9.4934 Å, c = 9.4934 Å
α = 60.00°, β = 60.00°, γ = 60.00°
With the nearest neighbours (Å) after each atom.
Positions (direct):
Ho 0.9446 0.5554 0.5554  2 Os 2.75
Ho 0.5554 0.5554 0.9446  2 Os 2.75
Ho 0.9446 0.5554 0.9446  2 Os 2.75
Ho 0.5554 0.9446 0.9446  2 Os 2.75
Ho 0.1916 0.8084 0.8084  2 Al 3.30, 10 Ho 3.38-3.64, 2 Os 3.39
Ho 0.1916 0.1916 0.8084  2 Al 3.30, 10 Ho 3.38-3.64, 2 Os 3.39
Ho 0.3998 0.3998 0.3998  3 Os 2.84
Ho 0.8084 0.1916 0.8084  2 Al 3.30, 10 Ho 3.38-3.64, 2 Os 3.39
Ho 0.8084 0.8084 0.1916  2 Al 3.30, 10 Ho 3.38-3.64, 2 Os 3.39
Ho 0.1916 0.8084 0.1916  2 Al 3.30, 10 Ho 3.38-3.64, 2 Os 3.39
Ho 0.9446 0.9446 0.5554  2 Os 2.75
Ho 0.8007 0.3998 0.3998  3 Os 2.84
Ho 0.8084 0.1916 0.1916  2 Al 3.30, 10 Ho 3.38-3.64, 2 Os 3.39
Ho 0.5554 0.9446 0.5554  2 Os 2.75
Ho 0.3998 0.8007 0.3998  3 Os 2.84
Ho 0.3998 0.3998 0.8007  3 Os 2.84
Os 0.6106 0.1682 0.6106  6 Ho 2.75-2.84
Os 0.6106 0.6106 0.1682  6 Ho 2.75-2.84
Os 0.1682 0.6106 0.6106  6 Ho 2.75-2.84
Os 0.6106 0.6106 0.6106  6 Ho 2.75-2.84
Al 0.4801 0.1733 0.1733  3 Al 2.91
Al 0.1733 0.1733 0.1733  3 Al 2.91
Al 0.1733 0.4801 0.1733  3 Al 2.91
Al 0.1733 0.1733 0.4801  3 Al 2.91

Calculated values
ΔE to the lowest computed polymorph in meV/atom: 0
Space group: No. 216
ΔE_f in eV per atom: -0.315

***

Record 8
Density functional theory data (PBE-GGA) for a relaxed structure of LiBTe.

a = 3.5163 Å, b = 6.6492 Å, c = 5.4850 Å
α = 87.31°, β = 90.00°, γ = 105.33°
With the nearest neighbours (Å) after each atom.
Positions (direct):
B 0.4512 0.9023 0.5934  1 B 1.58
B 0.5488 0.0977 0.4066  1 B 1.58
Li 0.0810 0.1620 0.7427  4 B 2.58-2.60, 3 Te 2.82-2.86
Li 0.9190 0.8380 0.2573  4 B 2.58-2.60, 3 Te 2.82-2.86
Te 0.8611 0.7221 0.7605  2 B 2.27
Te 0.1389 0.2779 0.2395  2 B 2.27

Calculated values
Space group: No. 12
Uncorrected formation energy in eV/atom: -0.15

***

Record 9
Density functional theory data (PBE-GGA) for a relaxed structure of Ga3SiIr.

a = 4.7971 Å, b = 4.7971 Å, c = 4.7971 Å
α = 90.00°, β = 90.00°, γ = 90.00°
With the nearest neighbours (Å) after each atom.
Positions (direct):
Ga 0.0000 0.0000 0.5000  2 Ir 2.40
Ga 0.5000 0.0000 0.0000  2 Ir 2.40
Ga 0.0000 0.5000 0.0000  2 Ir 2.40
Ir 0.0000 0.0000 0.0000  6 Ga 2.40
Si 0.5000 0.5000 0.5000  12 Ga 3.39

Calculated values
ΔE to the lowest computed polymorph in meV/atom: 0
Space group: No. 221
Uncorrected formation energy in eV/atom: 0.28

***

Record 10
Density functional theory data (PBE-GGA) for a relaxed structure of NaPmMgHg.

a = 5.1928 Å, b = 5.1928 Å, c = 5.1928 Å
α = 60.00°, β = 60.00°, γ = 60.00°
With the nearest neighbours (Å) after each atom.
Positions (direct):
Hg 0.5000 0.5000 0.5000  4 Pm 3.18, 4 Mg 3.18
Mg 0.2500 0.2500 0.2500  4 Hg 3.18, 4 Na 3.18
Pm 0.7500 0.7500 0.7500  4 Hg 3.18, 4 Na 3.18
Na 0.0000 0.0000 0.0000  4 Mg 3.18, 4 Pm 3.18

Calculated values
Space group: No. 216
ΔE_f in eV per atom: -0.191

***

Record 11
Density functional theory data (PBE-GGA) for a relaxed structure of Sm2LuOs.

a = 3.4955 Å, b = 3.4955 Å, c = 10.9892 Å
α = 80.85°, β = 80.85°, γ = 60.00°
With the nearest neighbours (Å) after each atom.
Positions (direct):
Sm 0.1043 0.1043 0.6871  3 Os 2.86
Sm 0.8957 0.8957 0.3129  3 Os 2.86
Lu 0.0000 0.0000 0.0000  2 Sm 3.38, 6 Lu 3.50
Os 0.5000 0.5000 0.5000  6 Sm 2.86

Calculated values
Space group: No. 166
ΔE_f in eV per atom: 0.363

***

Record 12
Density functional theory data (PBE-GGA) for a relaxed structure of RbAsS4.

a = 8.4762 Å, b = 8.4759 Å, c = 8.2257 Å
α = 58.99°, β = 58.99°, γ = 90.00°
With the nearest neighbours (Å) after each atom.
Positions (direct):
S 0.2463 0.0295 0.1436  1 S 2.07
S 0.6731 0.2537 0.3564  1 S 2.07
S 0.8899 0.1731 0.8564  1 S 2.07
S 0.5295 0.6101 0.6436  1 S 2.07
S 0.4705 0.3899 0.3564  1 S 2.07
S 0.1101 0.8269 0.1436  1 S 2.07
S 0.3269 0.7463 0.6436  1 S 2.07
S 0.7537 0.9705 0.8564  1 S 2.07
Rb 0.1250 0.3750 0.2500  8 S 3.48-3.57
Rb 0.8750 0.6250 0.7500  8 S 3.48-3.57
As 0.6250 0.8750 0.2500  4 S 2.45
As 0.3750 0.1250 0.7500  4 S 2.45

Calculated values
Space group: No. 88
Uncorrected formation energy in eV/atom: -0.16

***

Record 13
Density functional theory data (PBE-GGA) for a relaxed structure of LaTb5Ag4.

a = 3.6255 Å, b = 3.6255 Å, c = 20.0324 Å
α = 90.00°, β = 90.00°, γ = 90.00°
With the nearest neighbours (Å) after each atom.
Positions (direct):
Ag 0.0000 0.0000 0.2219  8 Tb 3.15-3.16
Ag 0.0000 0.0000 0.4075  8 Tb 3.16-3.17
Ag 0.0000 0.0000 0.7781  8 Tb 3.15-3.16
Ag 0.0000 0.0000 0.5925  8 Tb 3.16-3.17
Tb 0.5000 0.5000 0.6857  8 Ag 3.16-3.17
Tb 0.5000 0.5000 0.3143  8 Ag 3.16-3.17
Tb 0.5000 0.5000 0.8692  4 Ag 3.15
Tb 0.5000 0.5000 0.5000  8 Ag 3.16
Tb 0.5000 0.5000 0.1308  4 Ag 3.15
La 0.0000 0.0000 0.0000  4 La 3.63, 8 Tb 3.67

Calculated values
Space group: No. 123
ΔE_f in eV per atom: -0.244

***

Record 14
Density functional theory data (PBE-GGA) for a relaxed structure of CeYEr2.

a = 5.6348 Å, b = 5.6348 Å, c = 5.6348 Å
α = 60.00°, β = 60.00°, γ = 60.00°
With the nearest neighbours (Å) after each atom.
Positions (direct):
Y 0.0000 0.0000 0.0000  8 Er 3.45
Er 0.2500 0.2500 0.2500  4 Ce 3.45, 4 Y 3.45
Er 0.7500 0.7500 0.7500  4 Ce 3.45, 4 Y 3.45
Ce 0.5000 0.5000 0.5000  8 Er 3.45

Calculated values
ΔE to the lowest computed polymorph in meV/atom: 131
Space group: No. 225
ΔE_f in eV per atom: 0.158